A plane-wave DFT calculation with GGA-PBE was carried out for an optimized crystal structure of Na2ZnCd6Ga.

```
Na2ZnCd6Ga
1.0
3.5956 2.0759 11.5931
-3.5956 2.0759 11.5931
0.0000 -4.1518 11.5931
Na Zn Cd Ga
4 2 12 2
Direct
0.1051 0.1051 0.1051
0.2807 0.2807 0.2807
0.7193 0.7193 0.7193
0.8949 0.8949 0.8949
0.0000 0.0000 0.0000
0.5000 0.5000 0.5000
0.0715 0.6679 0.6679
0.2240 0.2240 0.6451
0.2240 0.6451 0.2240
0.3321 0.3321 0.9285
0.3321 0.9285 0.3321
0.3549 0.7760 0.7760
0.6451 0.2240 0.2240
0.6679 0.0715 0.6679
0.6679 0.6679 0.0715
0.7760 0.3549 0.7760
0.7760 0.7760 0.3549
0.9285 0.3321 0.3321
0.4264 0.4264 0.4264
0.5736 0.5736 0.5736
```

Values from the calculation:
As for the total magnetic moment: 0.000 μB per formula unit. Its total DFT energy (no corrections) is -1.211 eV per atom. For the formation enthalpy at 0 K, the calculation gives 0.7 kcal/mol of atoms.

=====

A plane-wave DFT calculation with GGA-PBE was carried out for an optimized crystal structure of TmMgIrPt.

```
TmMgIrPt
1.0
0.0000 3.2946 3.2946
3.2946 0.0000 3.2946
3.2946 3.2946 0.0000
Tm Mg Ir Pt
1 1 1 1
Direct
0.0000 0.0000 0.0000
0.5000 0.5000 0.5000
0.2500 0.2500 0.2500
0.7500 0.7500 0.7500
```

Values from the calculation:
As for the total magnetic moment: 0.000 μB per formula unit. Its total DFT energy (no corrections) is -6.079 eV per atom. For the formation enthalpy at 0 K, the calculation gives -19.3 kcal/mol of atoms.